VASP calculation (PBE-GGA) on an optimized crystal structure of Er4ScIn3.

Cell and atoms, written as POSCAR:
```
Er4ScIn3
1.0
5.0634 0.0000 1.4946
2.3111 4.5052 1.4946
0.0140 0.0086 9.2764
Sc In Er
1 3 4
Cartesian
0.0000 0.0000 0.0000
1.9170 1.1711 2.8298
5.4715 3.3426 9.4358
3.6942 2.2569 6.1328
6.4400 3.9343 6.1550
2.8169 1.7209 9.1049
0.9485 0.5795 6.1106
4.5716 2.7928 3.1607
```

Properties
Crystal system   trigonal
Formation energy from the elements   -0.32 eV per atom
Electronic total energy   -35.4 eV/cell